DFT (GGA-PBEsol) results for an optimized crystal structure of K2SrAl.

Cell lengths 4.442, 5.616, 6.577 Å; angles 90.00, 90.00, 90.00 degrees
Positions (direct):
K: 0.000 0.000 0.000
K: 0.500 0.500 0.000
Sr: 0.000 0.500 0.500
Al: 0.500 0.000 0.500

Properties
As for the energy of formation from the pure elements: 0.2738 eV per atom. Its spin magnetization is 0.001 μB per formula unit. The space-group type is No. 47. As for the crystal system: orthorhombic.

=====

DFT (GGA-PBEsol) results for an optimized crystal structure of K2SrAl.

Cell lengths 7.025, 13.611, 4.126 Å; angles 90.00, 122.61, 90.00 degrees
Positions (direct):
K: 0.250 0.250 0.000
K: 0.250 0.750 0.000
K: 0.750 0.250 0.000
K: 0.750 0.750 0.000
Sr: 0.000 0.000 0.500
Sr: 0.500 0.500 0.500
Al: 0.000 0.500 0.500
Al: 0.500 0.000 0.500

Properties
As for the energy of formation from the pure elements: 0.3166 eV per atom. Its spin magnetization is 0.000 μB per formula unit. The space-group type is No. 12. As for the crystal system: monoclinic.